This record from Alexandria describes crystalline Ho2Cu3Pt at its relaxed geometry. The functional is PBE.

Values from the calculation:
DFT total energy	-61.37	eV for the cell shown
energy of formation	-0.53	eV/atom

CIF file:
```
data_Ho2Cu3Pt
_symmetry_space_group_name_H-M 'P 1'
_symmetry_Int_Tables_number 1
_cell_length_a 5.514
_cell_length_b 5.514
_cell_length_c 8.634
_cell_angle_alpha 112.52
_cell_angle_beta 112.52
_cell_angle_gamma 78.50
loop_
_symmetry_equiv_pos_as_xyz
'x,y,z'
loop_
_atom_site_label
_atom_site_fract_x
_atom_site_fract_y
_atom_site_fract_z
_atom_site_occupancy
Ho1 0.750 0.250 0.500 1
Ho2 0.748 0.252 0.000 1
Ho3 0.250 0.750 0.500 1
Ho4 0.252 0.748 0.000 1
Cu1 0.838 0.838 0.161 1
Cu2 0.677 0.677 0.839 1
Cu3 0.162 0.162 0.839 1
Cu4 0.323 0.323 0.161 1
Cu5 0.163 0.163 0.326 1
Cu6 0.837 0.837 0.674 1
Pt1 0.666 0.666 0.333 1
Pt2 0.334 0.334 0.667 1
```